Density functional theory data (GGA+U) for crystalline W3O7F at its relaxed geometry.

Summary:
The crystal system is orthorhombic. The value obtained for the raw total energy is -80.613 eV per cell.

Cell: 6.3736 6.3736 3.8682 Å, 90.00 90.00 119.38°
Fractional positions:
W1 0.0000 0.0000 0.0000
W2 0.3041 0.6959 0.0000
W3 0.6959 0.3041 0.0000
O1 0.0000 0.0000 0.5000
O2 0.0406 0.3369 0.0000
O3 0.3087 0.6913 0.5000
O4 0.3369 0.0406 0.0000
O5 0.6631 0.9594 0.0000
O6 0.6913 0.3087 0.5000
O7 0.9594 0.6631 0.0000
F1 0.5000 0.5000 0.0000

---

Density functional theory data (GGA+U) for crystalline W3OF at its relaxed geometry.

Summary:
The crystal system is cubic. For the energy above the most stable polymorph in this dataset, the calculation gives 0 meV per atom.

Cell: 4.2049 4.2049 4.2049 Å, 90.00 90.00 90.00°
Fractional positions:
W1 0.0000 0.0000 0.5000
W2 0.0000 0.5000 0.0000
W3 0.5000 0.0000 0.0000
O1 0.0000 0.0000 0.0000
F1 0.5000 0.5000 0.5000

---

Density functional theory data (GGA+U) for crystalline WO2F2 at its relaxed geometry.

Summary:
The crystal system is tetragonal. For the energy above the most stable polymorph in this dataset, the calculation gives 2643 meV per atom.

Cell: 4.2296 4.2296 3.2878 Å, 90.00 90.00 90.00°
Fractional positions:
W1 0.0000 0.0000 0.0000
O1 0.5000 0.5000 0.0000
O2 0.5000 0.5000 0.5000
F1 0.0000 0.5000 0.5000
F2 0.5000 0.0000 0.5000

---

Density functional theory data (GGA+U) for crystalline WOF3 at its relaxed geometry.

Summary:
The crystal system is cubic. For the energy above the most stable polymorph in this dataset, the calculation gives 1266 meV per atom.

Cell: 4.1384 4.1384 4.1384 Å, 90.00 90.00 90.00°
Fractional positions:
W1 0.0000 0.0000 0.0000
O1 0.5000 0.5000 0.5000
F1 0.0000 0.0000 0.5000
F2 0.0000 0.5000 0.0000
F3 0.5000 0.0000 0.0000

---

Density functional theory data (GGA+U) for crystalline WO2F2 at its relaxed geometry.

Summary:
The crystal system is tetragonal. For the energy above the most stable polymorph in this dataset, the calculation gives 2175 meV per atom.

Cell: 5.2051 5.2051 3.6099 Å, 90.00 90.00 90.00°
Fractional positions:
W1 0.0000 0.0000 0.0000
W2 0.5000 0.5000 0.0000
O1 0.1773 0.3227 0.5000
O2 0.3227 0.8227 0.5000
O3 0.6773 0.1773 0.5000
O4 0.8227 0.6773 0.5000
F1 0.1420 0.6420 0.0000
F2 0.3580 0.1420 0.0000
F3 0.6420 0.8580 0.0000
F4 0.8580 0.3580 0.0000

---

Density functional theory data (GGA+U) for crystalline WO2F2 at its relaxed geometry.

Summary:
The crystal system is tetragonal. For the energy above the most stable polymorph in this dataset, the calculation gives 366 meV per atom.

Cell: 10.9934 10.9934 10.9934 Å, 162.24 162.24 25.23°
Fractional positions:
W1 0.3750 0.6250 0.7500
W2 0.6250 0.3750 0.2500
O1 0.0835 0.3335 0.7500
O2 0.3335 0.0835 0.2500
O3 0.6665 0.9165 0.7500
O4 0.9165 0.6665 0.2500
F1 0.1924 0.4424 0.7500
F2 0.4424 0.1924 0.2500
F3 0.5576 0.8076 0.7500
F4 0.8076 0.5576 0.2500

---

Density functional theory data (GGA+U) for crystalline WO2F2 at its relaxed geometry.

Summary:
The crystal system is orthorhombic. For the energy above the most stable polymorph in this dataset, the calculation gives 0 meV per atom.

Cell: 3.8736 3.8736 9.9429 Å, 90.00 90.00 90.06°
Fractional positions:
W1 0.2087 0.7913 0.7500
W2 0.7913 0.2087 0.2500
O1 0.2357 0.2648 0.7500
O2 0.2648 0.2357 0.2500
O3 0.7352 0.7643 0.7500
O4 0.7643 0.7352 0.2500
F1 0.2493 0.7507 0.5608
F2 0.2493 0.7507 0.9392
F3 0.7507 0.2493 0.0608
F4 0.7507 0.2493 0.4392

---

Density functional theory data (GGA+U) for crystalline W2O3F9 at its relaxed geometry.

Summary:
The crystal system is monoclinic. The value obtained for the raw total energy is -146.628 eV per cell.

Cell: 5.5321 5.4364 16.5663 Å, 90.00 107.49 90.00°
Fractional positions:
W1 0.1192 0.2252 0.3822
W2 0.1192 0.7748 0.8822
W3 0.8808 0.2252 0.1178
W4 0.8808 0.7748 0.6178
O1 0.2238 0.1258 0.4857
O2 0.2238 0.8742 0.9857
O3 0.5000 0.1017 0.7500
O4 0.5000 0.8983 0.2500
O5 0.7762 0.1258 0.0143
O6 0.7762 0.8742 0.5143
F1 0.0000 0.3254 0.2500
F2 0.0000 0.6746 0.7500
F3 0.0892 0.0574 0.6645
F4 0.0892 0.9426 0.1645
F5 0.1728 0.3982 0.1144
F6 0.1728 0.6018 0.6144
F7 0.3042 0.4787 0.8928
F8 0.3042 0.5213 0.3928
F9 0.3929 0.0630 0.3498
F10 0.3929 0.9370 0.8498
F11 0.6071 0.0630 0.1502
F12 0.6071 0.9370 0.6502
F13 0.6958 0.4787 0.6072
F14 0.6958 0.5213 0.1072
F15 0.8272 0.3982 0.3856
F16 0.8272 0.6018 0.8856
F17 0.9108 0.0574 0.8355
F18 0.9108 0.9426 0.3355

---

Density functional theory data (GGA+U) for crystalline WOF3 at its relaxed geometry.

Summary:
The crystal system is orthorhombic. For the energy above the most stable polymorph in this dataset, the calculation gives 0 meV per atom.

Cell: 5.4466 5.5992 9.5277 Å, 90.00 90.00 90.00°
Fractional positions:
W1 0.1382 0.1293 0.1388
W2 0.3618 0.8707 0.6388
W3 0.6382 0.3707 0.8612
W4 0.8618 0.6293 0.3612
O1 0.0301 0.3953 0.2365
O2 0.4699 0.6047 0.7365
O3 0.5301 0.1047 0.7635
O4 0.9699 0.8953 0.2635
F1 0.0551 0.9173 0.7318
F2 0.1791 0.6624 0.4910
F3 0.2098 0.8758 0.0126
F4 0.2902 0.1242 0.5126
F5 0.3209 0.3376 0.9910
F6 0.4449 0.0827 0.2318
F7 0.5551 0.5827 0.2682
F8 0.6791 0.8376 0.5090
F9 0.7098 0.6242 0.9874
F10 0.7902 0.3758 0.4874
F11 0.8209 0.1624 0.0090
F12 0.9449 0.4173 0.7682

---

Density functional theory data (GGA+U) for crystalline YWOF2 at its relaxed geometry.

Summary:
The crystal system is tetragonal. For the energy above the most stable polymorph in this dataset, the calculation gives 438 meV per atom.

Cell: 4.4021 4.4021 4.2295 Å, 90.00 90.00 90.00°
Fractional positions:
Y1 0.0000 0.0000 0.0000
W1 0.5000 0.5000 0.5000
O1 0.5000 0.5000 0.0000
F1 0.0000 0.5000 0.5000
F2 0.5000 0.0000 0.5000

---

Density functional theory data (GGA+U) for crystalline YWOF2 at its relaxed geometry.

Summary:
The crystal system is tetragonal. For the energy above the most stable polymorph in this dataset, the calculation gives 0 meV per atom.

Cell: 4.4159 4.4159 4.5274 Å, 90.00 90.00 90.00°
Fractional positions:
Y1 0.0000 0.0000 0.0000
W1 0.5000 0.5000 0.5000
O1 0.0000 0.0000 0.5000
F1 0.0000 0.5000 0.0000
F2 0.5000 0.0000 0.0000

---

Density functional theory data (GGA+U) for crystalline YWO4F at its relaxed geometry.

Summary:
The crystal system is monoclinic. The value obtained for the raw total energy is -109.543 eV per cell.

Cell: 6.0817 6.0817 7.1264 Å, 104.85 104.85 75.27°
Fractional positions:
Y1 0.2023 0.2023 0.1142
Y2 0.7977 0.7977 0.8858
W1 0.3483 0.3483 0.7215
W2 0.6517 0.6517 0.2785
O1 0.1001 0.4840 0.8399
O2 0.2613 0.2613 0.4572
O3 0.4551 0.4551 0.2178
O4 0.4840 0.1001 0.8399
O5 0.5160 0.8999 0.1601
O6 0.5449 0.5449 0.7822
O7 0.7387 0.7387 0.5428
O8 0.8999 0.5160 0.1601
F1 0.0166 0.0166 0.8323
F2 0.9834 0.9834 0.1677

---

Density functional theory data (GGA+U) for crystalline ZnWO2F at its relaxed geometry.

Summary:
The crystal system is tetragonal. The value obtained for the raw total energy is -27.085 eV per cell.

Cell: 4.0445 4.0445 4.2524 Å, 90.00 90.00 90.00°
Fractional positions:
Zn1 0.0000 0.0000 0.0000
W1 0.5000 0.5000 0.5000
O1 0.0000 0.5000 0.5000
O2 0.5000 0.0000 0.5000
F1 0.5000 0.5000 0.0000

---

Density functional theory data (GGA+U) for crystalline ZnWO2F at its relaxed geometry.

Summary:
The crystal system is tetragonal. The value obtained for the raw total energy is -23.917 eV per cell.

Cell: 3.9963 3.9963 3.7837 Å, 90.00 90.00 90.00°
Fractional positions:
Zn1 0.0000 0.0000 0.0000
W1 0.5000 0.5000 0.5000
O1 0.0000 0.5000 0.0000
O2 0.5000 0.0000 0.0000
F1 0.0000 0.0000 0.5000

---

Density functional theory data (GGA+U) for crystalline ZrWO2F at its relaxed geometry.

Summary:
The crystal system is tetragonal. The value obtained for the raw total energy is -33.500 eV per cell.

Cell: 4.2093 4.2093 4.1242 Å, 90.00 90.00 90.00°
Fractional positions:
Zr1 0.0000 0.0000 0.0000
W1 0.5000 0.5000 0.5000
O1 0.0000 0.5000 0.5000
O2 0.5000 0.0000 0.5000
F1 0.5000 0.5000 0.0000

---

Density functional theory data (GGA+U) for crystalline ZrWO2F at its relaxed geometry.

Summary:
The crystal system is tetragonal. The value obtained for the raw total energy is -35.489 eV per cell.

Cell: 4.1882 4.1882 4.2742 Å, 90.00 90.00 90.00°
Fractional positions:
Zr1 0.0000 0.0000 0.0000
W1 0.5000 0.5000 0.5000
O1 0.0000 0.5000 0.0000
O2 0.5000 0.0000 0.0000
F1 0.0000 0.0000 0.5000

---

Density functional theory data (GGA+U) for crystalline ZrWOF2 at its relaxed geometry.

Summary:
The crystal system is tetragonal. For the energy above the most stable polymorph in this dataset, the calculation gives 0 meV per atom.

Cell: 4.4193 4.4193 4.1043 Å, 90.00 90.00 90.00°
Fractional positions:
Zr1 0.0000 0.0000 0.0000
W1 0.5000 0.5000 0.5000
O1 0.0000 0.0000 0.5000
F1 0.0000 0.5000 0.0000
F2 0.5000 0.0000 0.0000

---

Density functional theory data (GGA+U) for crystalline ZrWOF2 at its relaxed geometry.

Summary:
The crystal system is tetragonal. For the energy above the most stable polymorph in this dataset, the calculation gives 489 meV per atom.

Cell: 4.3174 4.3174 4.2472 Å, 90.00 90.00 90.00°
Fractional positions:
Zr1 0.0000 0.0000 0.0000
W1 0.5000 0.5000 0.5000
O1 0.5000 0.5000 0.0000
F1 0.0000 0.5000 0.5000
F2 0.5000 0.0000 0.5000